Density functional theory data (PBE) for a geometry-optimized EuZnCdGa structure.

Summary:
Its total energy is -4.16 eV per atom.

```
data_EuZnCdGa
_chemical_formula_sum 'Eu1 Zn1 Cd1 Ga1'
_symmetry_space_group_name_H-M 'P 1'
_symmetry_Int_Tables_number 1
_cell_length_a 4.9734
_cell_length_b 4.9734
_cell_length_c 4.9734
_cell_angle_alpha 60.00
_cell_angle_beta 60.00
_cell_angle_gamma 60.00
loop_
_symmetry_equiv_pos_as_xyz
'x,y,z'
loop_
_atom_site_label
_atom_site_type_symbol
_atom_site_fract_x
_atom_site_fract_y
_atom_site_fract_z
Eu1 Eu 0.2500 0.2500 0.2500
Zn1 Zn 0.5000 0.5000 0.5000
Ga1 Ga 0.0000 0.0000 0.0000
Cd1 Cd 0.7500 0.7500 0.7500
```